18
Lattice="10.581 0.000 0.000 0.000 10.581 0.000 0.000 0.000 4.997" Properties=species:S:1:pos:R:3 comment="PmDy2Er6 GGA-PBE relaxed" formation_energy_ev_per_atom=0.022 relative_energy_mev_per_atom=0 pbc="T T T"
Pm 0.000 0.000 0.000
Pm 5.291 5.291 2.498
Dy 1.772 1.772 2.498
Dy 3.519 7.063 0.000
Dy 7.063 3.519 0.000
Dy 8.809 8.809 2.498
Er 0.002 3.539 0.000
Er 10.579 7.043 0.000
Er 1.752 5.293 2.498
Er 1.774 8.807 2.498
Er 3.517 3.517 0.000
Er 3.539 0.002 0.000
Er 5.293 1.752 2.498
Er 5.289 8.829 2.498
Er 7.043 10.579 0.000
Er 7.065 7.065 0.000
Er 8.807 1.774 2.498
Er 8.829 5.289 2.498

---

20
Lattice="5.040 0.000 0.000 0.000 5.040 0.000 0.000 0.000 25.156" Properties=species:S:1:pos:R:3 comment="Pm4Dy15Er GGA-PBE relaxed" formation_energy_ev_per_atom=0.018 pbc="T T T"
Pm 0.000 0.000 2.527
Pm 0.000 0.000 7.568
Pm 0.000 0.000 17.588
Pm 0.000 0.000 22.630
Dy 0.000 2.520 0.000
Dy 0.000 2.520 5.052
Dy 0.000 2.520 10.098
Dy 0.000 2.520 15.058
Dy 0.000 2.520 20.105
Dy 2.520 0.000 0.000
Dy 2.520 0.000 5.052
Dy 2.520 0.000 10.098
Dy 2.520 0.000 15.058
Dy 2.520 0.000 20.105
Dy 2.520 2.520 2.524
Dy 2.520 2.520 7.577
Dy 2.520 2.520 12.578
Dy 2.520 2.520 17.579
Dy 2.520 2.520 22.632
Er 0.000 0.000 12.578

---

13
Lattice="3.795 -10.299 0.000 3.795 10.299 0.000 0.000 0.000 5.539" Properties=species:S:1:pos:R:3 comment="Pm2Dy8Er3 GGA-PBE relaxed" formation_energy_ev_per_atom=0.236 relative_energy_mev_per_atom=82 pbc="T T T"
Pm 3.795 5.339 0.000
Pm 3.795 -5.339 0.000
Dy 3.795 7.637 2.770
Dy 2.184 2.187 0.000
Dy 3.795 3.348 2.770
Dy 2.184 -2.187 0.000
Dy 5.406 2.187 0.000
Dy 3.795 -3.348 2.770
Dy 5.406 -2.187 0.000
Dy 3.795 -7.637 2.770
Er 0.000 0.000 0.000
Er 2.166 0.000 2.770
Er 5.424 0.000 2.770

---

14
Lattice="-2.816 5.388 7.478 2.816 -5.388 7.478 2.816 5.388 -7.478" Properties=species:S:1:pos:R:3 comment="Pm3Dy8Er3 GGA-PBE relaxed" formation_energy_ev_per_atom=0.108 pbc="T T T"
Pm 0.000 0.000 0.000
Pm 2.816 0.000 2.721
Pm 0.000 5.388 4.757
Dy 2.816 3.663 -3.302
Dy 2.816 -1.709 5.942
Dy 0.000 1.724 4.175
Dy 0.000 3.679 1.536
Dy 2.816 1.709 5.942
Dy 2.816 3.663 3.302
Dy 0.000 7.096 1.536
Dy 0.000 1.724 10.780
Er 2.816 2.197 0.000
Er 0.000 0.000 7.478
Er 0.000 3.191 7.478